(1)
First-principles (GGA-PBE) data for a relaxed Mg3TiF crystal, as listed in Alexandria via LeMat-Bulk.

Lattice parameters (Å, degrees): 4.496 4.496 4.496 90.00 90.00 90.00
Element x y z (fractional)
Mg 0.000 0.000 0.500
Mg 0.000 0.500 0.000
Mg 0.500 0.000 0.000
Ti 0.500 0.500 0.500
F 0.000 0.000 0.000

Output
E_form (uncorrected), eV per atom: -0.61
Space-group type: Pm-3m, No. 221
Magnetization, μB per formula unit: 2.2
Polymorph energy (0 for the lowest one), eV per atom: 0.000

(2)
First-principles (GGA-PBE) data for a relaxed InSnIr crystal, as listed in Alexandria via LeMat-Bulk.

Lattice parameters (Å, degrees): 3.680 3.680 8.716 90.00 90.00 90.00
Element x y z (fractional)
In 0.000 0.000 0.000
In 0.500 0.500 0.500
Sn 0.000 0.000 0.317
Sn 0.500 0.500 0.817
Ir 0.000 0.000 0.668
Ir 0.500 0.500 0.168

Output
Space-group type: I4mm, No. 107
Magnetization, μB per formula unit: 0.0
Formation energy from the elements, eV per atom: 0.098

(3)
First-principles (GGA-PBE) data for a relaxed AcAg4 crystal, as listed in Alexandria via LeMat-Bulk.

Lattice parameters (Å, degrees): 5.939 5.939 5.939 90.00 90.00 90.00
Element x y z (fractional)
Ac 0.000 0.000 0.000
Ag 0.000 0.000 0.500
Ag 0.000 0.500 0.000
Ag 0.500 0.000 0.000
Ag 0.500 0.500 0.500

Output
Space-group type: Pm-3m, No. 221
Magnetization, μB per formula unit: 0.0
Polymorph energy (0 for the lowest one), eV per atom: 1.237
Formation energy from the elements, eV per atom: 1.055

(4)
First-principles (GGA-PBE) data for a relaxed Zn2FeOs crystal, as listed in Alexandria via LeMat-Bulk.

Lattice parameters (Å, degrees): 2.820 4.463 8.720 90.00 90.00 90.00
Element x y z (fractional)
Zn 0.000 0.000 0.241
Zn 0.000 0.000 0.759
Zn 0.500 0.500 0.241
Zn 0.500 0.500 0.759
Fe 0.000 0.500 0.000
Fe 0.500 0.000 0.000
Os 0.000 0.500 0.500
Os 0.500 0.000 0.500

Output
Space-group type: Cmmm, No. 65
Magnetization, μB per formula unit: 2.3
Polymorph energy (0 for the lowest one), eV per atom: 0.143
Formation energy from the elements, eV per atom: 0.205

(5)
First-principles (GGA-PBE) data for a relaxed MgCo2Ag crystal, as listed in Alexandria via LeMat-Bulk.

Lattice parameters (Å, degrees): 5.225 8.081 2.722 90.00 90.00 90.00
Element x y z (fractional)
Mg 0.000 0.000 0.000
Mg 0.500 0.500 0.000
Co 0.250 0.250 0.500
Co 0.250 0.750 0.500
Co 0.750 0.250 0.500
Co 0.750 0.750 0.500
Ag 0.000 0.500 0.000
Ag 0.500 0.000 0.000

Output
Space-group type: Cmmm, No. 65
Magnetization, μB per formula unit: 3.1
Formation energy from the elements, eV per atom: 0.305

(6)
First-principles (GGA-PBE) data for a relaxed PmEr2Tm5Sc crystal, as listed in Alexandria via LeMat-Bulk.

Lattice parameters (Å, degrees): 10.141 10.141 10.278 90.00 90.00 148.56
Element x y z (fractional)
Pm 0.087 0.913 0.500
Pm 0.913 0.087 0.000
Er 0.386 0.614 0.782
Er 0.389 0.611 0.362
Er 0.611 0.389 0.862
Er 0.614 0.386 0.282
Tm 0.020 0.980 0.785
Tm 0.121 0.879 0.068
Tm 0.201 0.799 0.754
Tm 0.223 0.777 0.368
Tm 0.482 0.518 0.068
Tm 0.518 0.482 0.568
Tm 0.777 0.223 0.868
Tm 0.799 0.201 0.254
Tm 0.879 0.121 0.568
Tm 0.980 0.020 0.285
Sc 0.303 0.697 0.061
Sc 0.697 0.303 0.561

Output
Space-group type: Cmc2_1, No. 36
Magnetization, μB per formula unit: 0.0
Formation energy from the elements, eV per atom: 0.176